Below is a relaxed CoSiSb2 crystal, with properties calculated at the GGA-PBEsol level.

Lattice parameters (Å, degrees): 3.259 4.821 4.821 99.01 97.03 97.03
Last column: magnetic moment on the atom in μB.
Fractional coordinates of all 4 atoms:
Sb  0.000  0.500  0.000  -0.01
Sb  0.000  0.000  0.500  -0.01
Si  0.500  0.500  0.500  0.00
Co  0.500  0.000  0.000  0.65

* uncorrected formation energy: 1.9 eV per formula unit
* VASP energy: -5.1677 eV per atom
* magnetic moment: 0.58 Bohr magnetons per cell
* theoretical density: 7.47 Mg/m³
* SG: No. 12